[1]
Density functional theory data (PBE-GGA) for crystalline AgSb2Te2 at its relaxed geometry.

Values from the calculation:
The energy is -3.17 eV/atom. The value obtained for the uncorrected formation energy is 309 meV per atom. Its energy above the most stable polymorph in this dataset is 182 meV/atom. Its total magnetization is 0.00 Bohr magnetons per cell. The calculation puts the volume at 150 Å³/f.u.

POSCAR file:
```
AgSb2Te2
1.0
-2.107 2.107 8.456
2.107 -2.107 8.456
2.107 2.107 -8.456
Ag Sb Te
1 2 2
Cartesian
0.000 0.000 0.000
2.107 0.000 4.228
0.000 2.107 4.228
0.000 0.000 6.969
0.000 0.000 9.944
```

---

[2]
Density functional theory data (PBE-GGA) for crystalline Ag2As2Ir at its relaxed geometry.

Values from the calculation:
The energy is -4.01 eV/atom. Its energy above the most stable polymorph in this dataset is 720 meV/atom. Its total magnetization is 0.97 Bohr magnetons per cell. The value obtained for the formation energy is 0.76 eV per atom. The calculation puts the volume at 96 Å³/f.u.

POSCAR file:
```
Ag2As2Ir
1.0
-1.803 1.803 7.379
1.803 -1.803 7.379
1.803 1.803 -7.379
Ag As Ir
2 2 1
Cartesian
0.000 0.000 1.367
0.000 0.000 13.390
1.803 0.000 3.689
0.000 1.803 3.689
0.000 0.000 7.379
```

---

[3]
Density functional theory data (PBE-GGA) for crystalline NaPH3 at its relaxed geometry.

Values from the calculation:
The energy is -3.18 eV/atom. Its energy above the most stable polymorph in this dataset is 164 meV/atom. Its total magnetization is 0.00 Bohr magnetons per cell. The calculation puts the volume at 50 Å³/f.u.

POSCAR file:
```
NaPH3
1.0
3.679 0.000 0.000
0.000 3.679 0.000
0.000 0.000 3.679
Na P H
1 1 3
Cartesian
0.000 0.000 0.000
1.839 1.839 1.839
0.000 1.839 1.839
1.839 0.000 1.839
1.839 1.839 0.000
```

---

[4]
Density functional theory data (PBE-GGA) for crystalline MgMnBeCd2 at its relaxed geometry.

Values from the calculation:
The energy is -2.17 eV/atom. Its total magnetization is 4.50 Bohr magnetons per cell. The value obtained for the formation energy is 1.10 eV per atom. The calculation puts the volume at 122 Å³/f.u.

POSCAR file:
```
MgMnBeCd2
1.0
5.131 0.000 0.000
0.000 5.131 0.000
0.000 0.000 4.618
Mg Mn Be Cd
1 1 1 2
Cartesian
0.000 0.000 0.000
2.565 2.565 2.309
0.000 0.000 2.309
0.000 2.565 0.000
2.565 0.000 0.000
```